1.
30
Lattice="-6.090 -2.417 0.716 4.286 -4.126 -2.838 7.284 -3.650 23.026" Properties=species:S:1:pos:R:3 comment="Nd2YTm12, relaxed, DFT PBE" total_magnetization_mub_per_cell=0.00 dos_at_fermi_per_ev_cell=51.12 volume_a3_per_atom=31.3 ef_ev_per_atom=0.104 pbc="T T T"
Tm 1.512 -4.456 6.554
Tm 1.736 -7.077 8.484
Tm 2.645 -3.807 9.542
Tm -0.218 -6.543 2.509
Tm 8.179 -6.199 18.195
Tm -0.508 -3.835 0.364
Tm 0.790 -4.464 13.121
Tm 5.087 -9.630 19.479
Tm 5.986 -6.358 20.541
Tm -0.497 -4.876 9.560
Tm -2.697 -3.995 2.713
Tm 3.738 -3.115 12.423
Tm 2.990 -5.344 19.967
Tm 5.698 -3.650 18.395
Tm 4.871 -2.466 15.411
Tm 5.978 -5.311 11.341
Tm 0.684 -3.271 3.570
Tm 2.843 -6.387 11.360
Tm 2.490 -4.848 0.932
Tm 0.609 -7.727 5.494
Tm 3.970 -5.737 14.349
Tm 4.691 -5.736 7.786
Tm 4.797 -6.922 17.334
Tm 0.397 -0.564 1.424
Y 3.338 -8.130 22.323
Y -3.045 -1.209 0.358
Nd 7.313 -4.958 15.071
Nd 3.355 -6.089 4.057
Nd -1.831 -5.236 5.839
Nd 2.124 -4.103 16.842

2.
12
Lattice="-2.975 -0.927 1.635 1.681 -6.121 -0.410 9.258 -3.157 15.056" Properties=species:S:1:pos:R:3 comment="Nd2Y7Tm3, relaxed, DFT PBE" total_magnetization_mub_per_cell=0.00 polymorph_energy_mev_per_atom=0 dos_at_fermi_per_ev_cell=18.60 volume_a3_per_atom=32.4 ef_ev_per_atom=0.080 pbc="T T T"
Y 0.171 -1.365 3.324
Y 4.400 -6.681 8.006
Y 8.486 -5.331 12.419
Y 2.453 -3.947 2.226
Y 7.793 -8.840 12.957
Y 3.564 -3.524 8.274
Y 0.000 0.000 0.000
Nd 5.393 -4.959 10.788
Nd 2.571 -5.245 5.493
Tm -0.647 -3.524 0.613
Tm 0.381 -2.682 6.746
Tm 7.583 -7.523 9.534

3.
11
Lattice="-1.268 2.973 1.572 -10.203 -4.127 -0.424 6.362 -1.932 8.781" Properties=species:S:1:pos:R:3 comment="Nd4Y6Tm, relaxed, DFT PBE" total_magnetization_mub_per_cell=0.00 polymorph_energy_mev_per_atom=43 dos_at_fermi_per_ev_cell=17.93 volume_a3_per_atom=34.3 ef_ev_per_atom=0.161 pbc="T T T"
Nd -2.870 -0.136 2.050
Nd -8.199 -2.291 1.828
Nd -4.876 -3.300 6.415
Nd 0.840 -2.664 5.713
Y -6.763 -4.905 3.820
Y -0.175 0.032 3.905
Y -1.919 -2.719 7.700
Y -5.055 -2.211 0.105
Y 2.714 -0.845 7.893
Y -2.227 -3.070 4.009
Tm 0.000 0.000 0.000

4.
11
Lattice="-1.353 -4.425 0.936 4.387 -1.522 -0.856 2.326 5.146 15.789" Properties=species:S:1:pos:R:3 comment="Nd2Y3Tm6, relaxed, DFT PBE" total_magnetization_mub_per_cell=0.00 polymorph_energy_mev_per_atom=68 dos_at_fermi_per_ev_cell=17.44 volume_a3_per_atom=33.3 ef_ev_per_atom=0.262 pbc="T T T"
Tm 5.102 0.883 11.554
Tm 3.127 -0.233 3.419
Tm 0.257 -1.685 4.315
Tm 2.366 1.338 9.746
Tm 2.993 -2.139 6.122
Tm 2.232 -0.568 12.450
Nd 3.486 1.971 14.359
Nd 1.873 -2.772 1.510
Y 1.565 0.885 6.449
Y 3.794 -1.686 9.420
Y 0.000 0.000 0.000

5.
9
Lattice="3.569 0.000 0.000 -1.784 3.091 0.000 0.000 0.000 31.453" Properties=species:S:1:pos:R:3 comment="NdY2Tm6, relaxed, DFT PBE" total_magnetization_mub_per_cell=1.95 polymorph_energy_mev_per_atom=145 dos_at_fermi_per_ev_cell=16.22 volume_a3_per_atom=38.5 ef_ev_per_atom=0.173 pbc="T T T"
Y 1.784 1.030 22.954
Y 1.784 1.030 8.499
Tm 0.000 2.060 25.804
Tm 0.000 2.060 11.265
Tm 0.000 2.060 20.188
Tm 1.784 1.030 28.547
Tm 0.000 2.060 5.649
Tm 1.784 1.030 2.906
Nd 0.000 2.060 0.000

6.
15
Lattice="6.777 -0.091 -0.130 -3.267 8.664 1.179 -3.267 -1.902 8.535" Properties=species:S:1:pos:R:3 comment="Nd4Y8Tm3, relaxed, DFT PBE" total_magnetization_mub_per_cell=0.82 polymorph_energy_mev_per_atom=243 dos_at_fermi_per_ev_cell=29.93 volume_a3_per_atom=34.0 ef_ev_per_atom=0.368 pbc="T T T"
Nd 3.389 -0.045 -0.065
Nd 0.000 0.000 0.000
Nd -1.633 -0.951 4.267
Nd -1.633 4.332 0.589
Tm 1.755 4.287 0.524
Tm 0.122 3.336 4.792
Tm 1.755 -0.996 4.202
Y -1.530 4.916 7.061
Y -3.267 4.859 3.828
Y 0.122 5.932 2.984
Y -3.267 1.903 5.886
Y 0.122 0.740 6.599
Y 1.989 4.838 6.949
Y -1.746 1.833 2.634
Y 1.773 1.755 2.522

7.
12
Lattice="3.610 0.000 0.000 0.000 5.649 0.000 0.000 -2.825 18.726" Properties=species:S:1:pos:R:3 comment="Nd2Y3Tm7, relaxed, DFT PBE" total_magnetization_mub_per_cell=0.00 polymorph_energy_mev_per_atom=24 dos_at_fermi_per_ev_cell=17.92 volume_a3_per_atom=31.8 ef_ev_per_atom=0.110 pbc="T T T"
Nd 0.000 0.000 5.485
Nd 0.000 2.825 13.240
Tm 0.000 0.000 8.627
Tm 0.000 2.825 10.098
Tm 0.000 2.825 3.320
Tm 1.805 2.825 16.091
Tm 0.000 0.000 0.000
Tm 0.000 0.000 15.405
Tm 1.805 0.000 2.634
Y 1.805 2.825 6.966
Y 1.805 0.000 11.760
Y 1.805 2.825 0.000

8.
12
Lattice="3.631 0.000 0.000 0.000 5.886 -0.260 0.000 -3.798 19.212" Properties=species:S:1:pos:R:3 comment="Nd7Y3Tm2, relaxed, DFT PBE" total_magnetization_mub_per_cell=0.00 polymorph_energy_mev_per_atom=0 dos_at_fermi_per_ev_cell=17.24 volume_a3_per_atom=33.9 ef_ev_per_atom=0.088 pbc="T T T"
Nd 1.816 2.489 8.750
Nd 1.816 2.766 15.419
Nd 0.000 -0.108 16.260
Nd 0.000 2.196 2.692
Nd 0.000 0.000 0.000
Nd 1.816 -0.401 10.203
Nd 1.816 -0.678 3.534
Y 0.000 2.610 11.945
Y 1.816 2.943 -0.130
Y 0.000 -0.522 7.007
Tm 1.816 -0.249 13.385
Tm 1.816 2.336 5.567

9.
10
Lattice="-1.952 -5.382 3.086 8.932 -3.418 -0.131 -0.226 5.794 3.039" Properties=species:S:1:pos:R:3 comment="Nd3YTm6, relaxed, DFT PBE" total_magnetization_mub_per_cell=0.00 polymorph_energy_mev_per_atom=12 dos_at_fermi_per_ev_cell=11.73 volume_a3_per_atom=32.2 ef_ev_per_atom=0.168 pbc="T T T"
Nd 5.869 -2.343 0.759
Nd 0.885 -0.662 5.235
Nd 0.000 0.000 0.000
Tm 7.116 -5.044 2.797
Tm 2.698 1.475 1.320
Tm 1.881 -1.661 2.242
Tm -0.362 2.039 3.197
Tm 4.873 -1.344 3.752
Tm 4.056 -4.480 4.674
Y 3.490 -4.400 1.477

10.
11
Lattice="-1.470 1.218 -3.023 -4.425 0.495 2.352 7.709 17.532 5.426" Properties=species:S:1:pos:R:3 comment="Nd3Y4Tm4, relaxed, DFT PBE" total_magnetization_mub_per_cell=0.00 polymorph_energy_mev_per_atom=0 dos_at_fermi_per_ev_cell=14.08 volume_a3_per_atom=32.2 ef_ev_per_atom=0.024 pbc="T T T"
Nd 7.708 17.532 5.426
Nd -1.640 5.895 1.058
Nd 3.453 13.349 3.697
Y 0.066 12.505 2.889
Y 1.747 6.740 1.866
Y -2.504 2.562 0.135
Y 4.317 16.682 4.619
Tm -0.777 9.239 1.985
Tm 2.590 10.007 2.770
Tm 0.871 3.357 0.928
Tm 0.942 15.887 3.827

11.
18
Lattice="-10.231 -4.727 -3.793 3.413 -4.870 -3.137 3.068 0.579 9.645" Properties=species:S:1:pos:R:3 comment="Nd2Y5Tm2, relaxed, DFT PBE" total_magnetization_mub_per_cell=0.00 polymorph_energy_mev_per_atom=212 dos_at_fermi_per_ev_cell=29.16 volume_a3_per_atom=33.3 ef_ev_per_atom=0.233 pbc="T T T"
Y -1.525 -4.419 -0.486
Y -6.915 -4.891 -2.820
Y 3.043 -3.545 5.925
Y -8.004 -5.076 0.632
Y -1.669 -6.208 2.133
Y 3.562 -2.956 2.718
Y -2.945 -3.573 3.861
Y 1.120 -1.210 7.413
Y -5.425 -7.426 -4.468
Y -2.800 -1.785 1.243
Nd -3.242 -7.366 -0.669
Nd 0.147 -0.210 -0.136
Nd 0.142 -2.580 2.786
Nd -3.262 -5.009 -3.600
Tm 1.724 -3.815 -0.187
Tm 1.557 -5.876 2.831
Tm -5.105 -5.731 2.563
Tm -4.938 -3.669 -0.456

12.
16
Lattice="-3.154 -1.293 -5.301 -1.934 -6.510 2.738 -9.500 4.715 4.502" Properties=species:S:1:pos:R:3 comment="Nd4YTm3, relaxed, DFT PBE" total_magnetization_mub_per_cell=0.00 polymorph_energy_mev_per_atom=0 dos_at_fermi_per_ev_cell=29.94 volume_a3_per_atom=33.2 ef_ev_per_atom=0.027 pbc="T T T"
Nd -2.304 -1.686 -3.096
Nd -2.127 -5.859 1.646
Nd -7.015 0.698 -0.791
Nd -6.909 -3.503 3.833
Nd -5.539 -5.141 0.940
Nd -10.372 -2.743 3.230
Nd -5.759 -0.903 -3.709
Nd -10.428 1.414 -1.497
Tm -3.236 -4.861 -1.738
Tm -5.953 -0.318 2.516
Tm -11.424 -1.769 -0.129
Tm -6.668 -4.130 -2.383
Tm -9.376 0.440 1.860
Tm -4.632 -1.914 -0.388
Y -8.004 -2.533 0.507
Y -1.204 -2.654 0.238